Entry 1:
This record from Alexandria via LeMat-Bulk describes a crystal of BaAu5 relaxed with PBEsol. The functional is meta-GGA SCAN.

The energy relative to the elements comes out at -517 meV/atom. As for the crystal system: hexagonal. Its total DFT energy (no corrections) is -64.74 eV per atom.

The structure belongs to space group P6/mmm (No. 191); the cell edges are 5.7121, 5.7121 and 4.5421 Å and the angles 90.00°, 90.00° and 120.00°. The asymmetric unit holds Ba at (0.0000, 0.0000, 0.0000), Au at (0.0000, 0.5000, 0.5000) and Au at (0.3333, 0.6667, 0.0000).

Entry 2:
This record from Alexandria via LeMat-Bulk describes a crystal of BaAu4 relaxed with PBEsol. The functional is meta-GGA SCAN.

The energy relative to the elements comes out at 636 meV/atom. As for the crystal system: cubic. Its total DFT energy (no corrections) is -62.60 eV per atom.

The structure belongs to space group Im-3m (No. 229); the cell edges are 6.7470, 6.7470 and 6.7470 Å and the angles 90.00°, 90.00° and 90.00°. The asymmetric unit holds Ba at (0.0000, 0.0000, 0.0000) and Au at (0.2500, 0.2500, 0.2500).

Entry 3:
This record from Alexandria via LeMat-Bulk describes a crystal of BaAu4 relaxed with PBEsol. The functional is meta-GGA SCAN.

The energy relative to the elements comes out at -513 meV/atom. As for the crystal system: cubic. Its total DFT energy (no corrections) is -63.75 eV per atom.

The structure belongs to space group I-43m (No. 217); the cell edges are 9.7262, 9.7262 and 9.7262 Å and the angles 90.00°, 90.00° and 90.00°. The asymmetric unit holds Ba at (0.2179, 0.2179, 0.7821), Au at (0.0000, 0.0000, 0.3550), Au at (0.0000, 0.2500, 0.5000) and Au at (0.1022, 0.1022, 0.1022).

Entry 4:
This record from Alexandria via LeMat-Bulk describes a crystal of BaBeAu2 relaxed with PBEsol. The functional is meta-GGA SCAN.

The energy relative to the elements comes out at -340 meV/atom. As for the crystal system: orthorhombic. Its total DFT energy (no corrections) is -45.89 eV per atom.

The structure belongs to space group Immm (No. 71); the cell edges are 3.7739, 6.0137 and 8.2258 Å and the angles 90.00°, 90.00° and 90.00°. The asymmetric unit holds Ba at (0.0000, 0.0000, 0.0000), Be at (0.0000, 0.0000, 0.5000) and Au at (0.0000, 0.5000, 0.1695).

Entry 5:
This record from Alexandria via LeMat-Bulk describes a crystal of Ba2BeAu relaxed with PBEsol. The functional is meta-GGA SCAN.

The energy relative to the elements comes out at -110 meV/atom. As for the crystal system: tetragonal. Its total DFT energy (no corrections) is -38.26 eV per atom.

The structure belongs to space group P4/mmm (No. 123); the cell edges are 3.9511, 3.9511 and 7.7277 Å and the angles 90.00°, 90.00° and 90.00°. The asymmetric unit holds Ba at (0.0000, 0.0000, 0.2486), Be at (0.5000, 0.5000, 0.0000) and Au at (0.5000, 0.5000, 0.5000).

Entry 6:
This record from Alexandria via LeMat-Bulk describes a crystal of BaBeAu2 relaxed with PBEsol. The functional is meta-GGA SCAN.

The energy relative to the elements comes out at -373 meV/atom. As for the crystal system: monoclinic. Its total DFT energy (no corrections) is -45.93 eV per atom.

The structure belongs to space group P2/m (No. 10); the cell edges are 3.8488, 3.6525 and 6.6851 Å and the angles 90.00°, 105.98° and 90.00°. The asymmetric unit holds Ba at (0.0000, 0.0000, 0.0000), Be at (0.5000, 0.0000, 0.5000) and Au at (0.3238, 0.5000, 0.6606).

Entry 7:
This record from Alexandria via LeMat-Bulk describes a crystal of BaBeAu2 relaxed with PBEsol. The functional is meta-GGA SCAN.

The energy relative to the elements comes out at 124 meV/atom. As for the crystal system: tetragonal. Its total DFT energy (no corrections) is -45.43 eV per atom.

The structure belongs to space group P4/mmm (No. 123); the cell edges are 4.8811, 4.8811 and 3.8594 Å and the angles 90.00°, 90.00° and 90.00°. The asymmetric unit holds Ba at (0.0000, 0.0000, 0.0000), Be at (0.5000, 0.5000, 0.0000) and Au at (0.0000, 0.5000, 0.5000).

Entry 8:
This record from Alexandria via LeMat-Bulk describes a crystal of BaBe2Au relaxed with PBEsol. The functional is meta-GGA SCAN.

Its distance to the lowest polymorph of the same formula is 362 meV per atom. The energy relative to the elements comes out at 191 meV/atom. As for the crystal system: tetragonal. Its total DFT energy (no corrections) is -29.16 eV per atom.

The structure belongs to space group P4mm (No. 99); the cell edges are 3.1332, 3.1332 and 7.3912 Å and the angles 90.00°, 90.00° and 90.00°. The asymmetric unit holds Ba at (0.0000, 0.0000, 0.0000), Be at (0.0000, 0.0000, 0.4863), Be at (0.5000, 0.5000, 0.3318) and Au at (0.5000, 0.5000, 0.6430).

Entry 9:
This record from Alexandria via LeMat-Bulk describes a crystal of BaBe2Au relaxed with PBEsol. The functional is meta-GGA SCAN.

Its distance to the lowest polymorph of the same formula is 0 meV per atom. The energy relative to the elements comes out at -171 meV/atom. As for the crystal system: tetragonal. Its total DFT energy (no corrections) is -29.52 eV per atom.

The structure belongs to space group I4_1/amd (No. 141, origin choice 2); the cell edges are 5.0833, 5.0833 and 14.3626 Å and the angles 90.00°, 90.00° and 90.00°. The asymmetric unit holds Ba at (0.0000, 0.2500, 0.3750), Be at (0.0000, 0.0000, 0.0000) and Au at (0.0000, 0.2500, 0.8750).

Entry 10:
This record from Alexandria via LeMat-Bulk describes a crystal of BaBeAu2 relaxed with PBEsol. The functional is meta-GGA SCAN.

The energy relative to the elements comes out at -206 meV/atom. As for the crystal system: tetragonal. Its total DFT energy (no corrections) is -45.76 eV per atom.

The structure belongs to space group P4/mmm (No. 123); the cell edges are 3.1712, 3.1712 and 7.7705 Å and the angles 90.00°, 90.00° and 90.00°. The asymmetric unit holds Ba at (0.0000, 0.0000, 0.0000), Be at (0.0000, 0.0000, 0.5000) and Au at (0.5000, 0.5000, 0.3259).

Entry 11:
This record from Alexandria via LeMat-Bulk describes a crystal of Ba4BeAu relaxed with PBEsol. The functional is meta-GGA SCAN.

The energy relative to the elements comes out at 761 meV/atom. As for the crystal system: cubic. Its total DFT energy (no corrections) is -37.86 eV per atom.

The structure belongs to space group F-43m (No. 216); the cell edges are 9.6723, 9.6723 and 9.6723 Å and the angles 90.00°, 90.00° and 90.00°. The asymmetric unit holds Ba at (0.1246, 0.1246, 0.1246), Be at (0.0000, 0.0000, 0.5000) and Au at (0.2500, 0.2500, 0.7500).

Entry 12:
This record from Alexandria via LeMat-Bulk describes a crystal of BaBeAu2 relaxed with PBEsol. The functional is meta-GGA SCAN.

The energy relative to the elements comes out at 116 meV/atom. As for the crystal system: tetragonal. Its total DFT energy (no corrections) is -45.44 eV per atom.

The structure belongs to space group I-4m2 (No. 119); the cell edges are 4.7975, 4.7975 and 7.7232 Å and the angles 90.00°, 90.00° and 90.00°. The asymmetric unit holds Ba at (0.0000, 0.0000, 0.0000), Be at (0.0000, 0.5000, 0.7500), Au at (0.0000, 0.0000, 0.5000) and Au at (0.0000, 0.5000, 0.2500).